# IrRu3W

A relaxed IrRu3W crystal (PBE, Alexandria).

Cell and atoms, written as POSCAR:
```
IrRu3W
1.0
4.6076 0.0000 0.0000
0.0000 4.6076 0.0000
0.0000 0.0000 4.6076
Ir Ru W
1 3 1
Cartesian
0.0000 0.0000 0.0000
0.0000 2.3038 2.3038
2.3038 0.0000 2.3038
2.3038 2.3038 0.0000
2.3038 2.3038 2.3038
```

- energy relative to the elements (eV per atom) = 1.98
- total DFT energy (no corrections) (eV/cell) = -39.76
- ΔE to the lowest computed polymorph (eV per formula unit) = 2.600
- density (g cm⁻³) = 11.53
- crystal system = cubic
- space group = No. 221
- DOS at the Fermi energy (states/eV per atom) = 1.157
- magnetic moment (μB/cell) = 2.694
- V (Å³/cell) = 98

***

# Tc2Sb2C

A relaxed Tc2Sb2C crystal (PBE, Alexandria).

Cell and atoms, written as POSCAR:
```
Tc2Sb2C
1.0
7.3868 0.0000 0.0000
0.0000 7.3868 0.0000
0.0000 0.0000 3.2439
Tc Sb C
4 4 2
Cartesian
1.0562 2.6373 0.0000
2.6373 6.3307 0.0000
4.7496 1.0562 0.0000
6.3307 4.7496 0.0000
1.1549 4.8483 1.6219
2.5385 1.1549 1.6219
4.8483 6.2319 1.6219
6.2319 2.5385 1.6219
0.0000 0.0000 1.6219
3.6934 3.6934 1.6219
```

- uncorrected formation energy (eV/atom) = 1.41
- total DFT energy (no corrections) (eV/cell) = -62.33
- ΔE to the lowest computed polymorph (eV per formula unit) = 0.263
- density (g cm⁻³) = 8.47
- crystal system = tetragonal
- space group = No. 127
- DOS at the Fermi energy (states/eV per atom) = 1.112
- magnetic moment (μB/cell) = 0.000
- V (Å³/cell) = 177

***

# Ce2CuSi4Ni3

A relaxed Ce2CuSi4Ni3 crystal (PBE, Alexandria).

Cell and atoms, written as POSCAR:
```
Ce2CuSi4Ni3
1.0
4.0395 0.0000 0.0000
0.0000 4.0395 0.0000
0.0000 0.0000 9.5382
Ce Cu Si Ni
2 1 4 3
Cartesian
0.0000 2.0198 2.3749
2.0198 0.0000 7.1633
0.0000 0.0000 4.7691
0.0000 0.0000 0.0000
0.0000 2.0198 6.0429
2.0198 0.0000 3.4953
2.0198 2.0198 0.0000
0.0000 2.0198 8.3758
2.0198 0.0000 1.1624
2.0198 2.0198 4.7691
```

- uncorrected formation energy (eV/atom) = -0.76
- total DFT energy (no corrections) (eV/cell) = -62.65
- density (g cm⁻³) = 6.74
- crystal system = tetragonal
- space group = No. 115
- DOS at the Fermi energy (states/eV per atom) = 0.657
- magnetic moment (μB/cell) = 0.000
- V (Å³/cell) = 156

***

# SbPd6Pb2

A relaxed SbPd6Pb2 crystal (PBE, Alexandria).

Cell and atoms, written as POSCAR:
```
SbPd6Pb2
1.0
-2.2526 3.8605 5.1077
2.2526 -3.8605 5.1077
2.2526 3.8605 -5.1077
Sb Pd Pb
1 6 2
Cartesian
0.0000 0.0000 0.0000
2.2526 -1.6910 3.4636
2.2526 1.4957 0.0000
0.0000 2.1695 1.6441
2.2526 1.6910 3.4636
0.0000 2.3648 5.1077
0.0000 5.5515 1.6441
0.0000 0.0000 3.4402
0.0000 0.0000 6.7753
```

- uncorrected formation energy (eV/atom) = -0.24
- total DFT energy (no corrections) (eV/cell) = -44.83
- ΔE to the lowest computed polymorph (eV per formula unit) = 0.619
- density (g cm⁻³) = 10.98
- crystal system = orthorhombic
- space group = No. 71
- DOS at the Fermi energy (states/eV per atom) = 0.477
- magnetic moment (μB/cell) = 0.000
- V (Å³/cell) = 178

***

# TaAlPb2

A relaxed TaAlPb2 crystal (PBE, Alexandria).

Cell and atoms, written as POSCAR:
```
TaAlPb2
1.0
5.4424 -1.5696 0.0000
5.4424 1.5696 0.0000
-0.6026 0.0000 5.3678
Ta Al Pb
1 1 2
Cartesian
0.0000 0.0000 0.0000
5.1411 0.0000 2.6839
2.3950 0.0000 4.0593
7.8872 0.0000 1.3085
```

- energy relative to the elements (eV per atom) = 0.50
- total DFT energy (no corrections) (eV/cell) = -20.99
- density (g cm⁻³) = 11.27
- crystal system = monoclinic
- space group = No. 12
- DOS at the Fermi energy (states/eV per atom) = 0.637
- magnetic moment (μB/cell) = 0.000
- V (Å³/cell) = 92

***

# La8Y2Th3

A relaxed La8Y2Th3 crystal (PBE, Alexandria).

Cell and atoms, written as POSCAR:
```
La8Y2Th3
1.0
5.0250 -5.5676 0.0000
5.0250 5.5676 0.0000
-3.4730 0.0000 8.2442
La Y Th
8 2 3
Cartesian
2.2891 2.8788 2.6034
-0.3088 0.0000 2.7875
1.2500 0.0000 6.3690
4.2878 2.8788 5.6408
2.2891 -2.8788 2.6034
5.3269 0.0000 1.8752
6.8857 0.0000 5.4567
4.2878 -2.8788 5.6408
2.2087 0.0000 0.4041
4.3682 0.0000 7.8401
5.0250 2.8798 0.0000
3.2885 0.0000 4.1221
5.0250 -2.8798 0.0000
```

- energy relative to the elements (eV per atom) = 0.21
- total DFT energy (no corrections) (eV/cell) = -71.93
- density (g cm⁻³) = 7.15
- crystal system = monoclinic
- space group = No. 12
- DOS at the Fermi energy (states/eV per atom) = 1.707
- magnetic moment (μB/cell) = 0.000
- V (Å³/cell) = 461

***

# Mg2AsPb

A relaxed Mg2AsPb crystal (PBE, Alexandria).

Cell and atoms, written as POSCAR:
```
Mg2AsPb
1.0
3.2791 0.0000 0.0000
0.0000 4.1551 0.0000
0.0000 0.0000 7.1956
Mg As Pb
2 1 1
Cartesian
0.0000 0.0000 0.0000
1.6395 2.0776 1.9791
1.6395 2.0776 6.4262
0.0000 0.0000 3.7465
```

- energy relative to the elements (eV per atom) = -0.14
- total DFT energy (no corrections) (eV/cell) = -12.12
- ΔE to the lowest computed polymorph (eV per formula unit) = 0.325
- density (g cm⁻³) = 5.60
- crystal system = orthorhombic
- space group = No. 25
- DOS at the Fermi energy (states/eV per atom) = 0.381
- magnetic moment (μB/cell) = 0.000
- V (Å³/cell) = 98

***

# Pr15Si10Ni7

A relaxed Pr15Si10Ni7 crystal (PBE, Alexandria).

Cell and atoms, written as POSCAR:
```
Pr15Si10Ni7
1.0
19.8717 0.0000 0.0000
-9.9359 17.2094 0.0000
0.0000 0.0000 4.3816
Pr Si Ni
30 20 14
Cartesian
-1.1505 2.5358 1.0954
-6.0652 11.6720 3.2862
-3.3532 8.6342 3.2862
-0.7276 5.5441 3.2862
-7.1646 16.9379 1.0954
1.6208 2.2642 3.2862
-4.7707 15.0674 3.2862
-2.2019 12.2302 3.2862
0.4452 9.1875 3.2862
4.4376 3.4021 1.0954
2.8602 6.1208 3.2862
6.7308 0.5834 1.0954
-0.7819 15.7963 3.2862
1.7567 13.0012 3.2862
4.1350 9.9884 3.2862
5.8008 7.2210 1.0954
8.1792 4.2082 1.0954
10.7177 1.4131 1.0954
3.2050 16.6260 3.2862
7.0757 11.0886 1.0954
5.4983 13.8073 3.2862
9.4907 8.0219 1.0954
12.1377 4.9792 1.0954
14.7066 2.1420 1.0954
8.3151 14.9452 1.0954
17.1004 0.2715 3.2862
10.6634 11.6653 1.0954
13.2891 8.5752 1.0954
16.0010 5.5374 1.0954
11.0863 14.6737 3.2862
-6.7708 13.8387 1.0954
-4.0214 10.7591 1.0954
-1.3287 7.6591 1.0954
1.3366 4.4263 1.0954
4.5016 1.0556 3.2862
-2.6385 14.5306 1.0954
0.0000 11.4729 1.0954
2.6289 8.3472 1.0954
5.9686 4.9803 3.2862
8.5433 1.8969 3.2862
1.3925 15.3125 1.0954
3.9673 12.2291 1.0954
7.3070 8.8622 3.2862
9.9359 5.7365 3.2862
12.5744 2.6788 3.2862
5.4342 16.1538 1.0954
8.5992 12.7831 3.2862
11.2646 9.5503 3.2862
13.9573 6.4503 3.2862
16.7067 3.3707 3.2862
0.0000 0.0000 0.0000
0.0000 0.0000 2.1908
-4.5012 13.0621 1.0954
-1.7888 9.9668 1.0954
0.8743 6.7802 1.0954
-0.4100 13.7751 1.0954
6.3090 2.6329 3.2862
2.1987 10.6769 1.0954
7.7371 6.5325 3.2862
3.6268 14.5765 1.0954
10.3458 3.4343 3.2862
9.0615 10.4292 3.2862
11.7246 7.2426 3.2862
14.4370 4.1473 3.2862
```

- uncorrected formation energy (eV/atom) = -0.62
- total DFT energy (no corrections) (eV/cell) = -372.19
- density (g cm⁻³) = 6.22
- crystal system = hexagonal
- space group = No. 176
- DOS at the Fermi energy (states/eV per atom) = 0.969
- magnetic moment (μB/cell) = 0.019
- V (Å³/cell) = 1498

***

# TbCe2Si2Pd2

A relaxed TbCe2Si2Pd2 crystal (PBE, Alexandria).

Cell and atoms, written as POSCAR:
```
TbCe2Si2Pd2
1.0
2.1480 1.2401 8.9593
-2.1480 1.2401 8.9593
0.0000 -2.4803 8.9593
Tb Ce Si Pd
1 2 2 2
Cartesian
0.0000 0.0000 0.0000
0.0000 0.0000 3.7263
0.0000 0.0000 23.1517
0.0000 0.0000 6.9940
0.0000 0.0000 19.8841
0.0000 0.0000 10.8359
0.0000 0.0000 16.0421
```

- uncorrected formation energy (eV/atom) = -0.80
- total DFT energy (no corrections) (eV/cell) = -43.31
- density (g cm⁻³) = 8.21
- crystal system = trigonal
- space group = No. 166
- DOS at the Fermi energy (states/eV per atom) = 1.185
- magnetic moment (μB/cell) = 0.975
- V (Å³/cell) = 143

***

What is the DOS at the Fermi energy in the third record? 0.657 states/eV per atom

***

Please write out number 3 again, unchanged.
# Ce2CuSi4Ni3

A relaxed Ce2CuSi4Ni3 crystal (PBE, Alexandria).

Cell and atoms, written as POSCAR:
```
Ce2CuSi4Ni3
1.0
4.0395 0.0000 0.0000
0.0000 4.0395 0.0000
0.0000 0.0000 9.5382
Ce Cu Si Ni
2 1 4 3
Cartesian
0.0000 2.0198 2.3749
2.0198 0.0000 7.1633
0.0000 0.0000 4.7691
0.0000 0.0000 0.0000
0.0000 2.0198 6.0429
2.0198 0.0000 3.4953
2.0198 2.0198 0.0000
0.0000 2.0198 8.3758
2.0198 0.0000 1.1624
2.0198 2.0198 4.7691
```

- uncorrected formation energy (eV/atom) = -0.76
- total DFT energy (no corrections) (eV/cell) = -62.65
- density (g cm⁻³) = 6.74
- crystal system = tetragonal
- space group = No. 115
- DOS at the Fermi energy (states/eV per atom) = 0.657
- magnetic moment (μB/cell) = 0.000
- V (Å³/cell) = 156

***

Which formula does entry 9 have? TbCe2Si2Pd2

***

Which of these has the highest magnetic moment? IrRu3W